No. 1
A plane-wave DFT calculation with PBEsol was carried out for LiTi3Se after structural relaxation.

Output
The calculation puts the spin magnetization at 0.00 μB per formula unit. Its space-group type is Pm-3m, No. 221. Its volume is 20.52 A^3/atom. The uncorrected formation energy comes out at 0.1744 eV/atom. As for the crystal system: cubic. Its density of states at the Fermi level is 4.4 states/eV per cell.

a = 4.6812 Å, b = 4.6812 Å, c = 4.6812 Å
α = 90.00°, β = 90.00°, γ = 90.00°
Closest atoms and distances in Å follow each position.
Element x y z (fractional)
Li  0.0000  0.0000  0.0000  12 Ti 3.31
Ti  0.0000  0.5000  0.5000  2 Se 2.34
Ti  0.5000  0.0000  0.5000  2 Se 2.34
Ti  0.5000  0.5000  0.0000  2 Se 2.34
Se  0.5000  0.5000  0.5000  6 Ti 2.34

---

No. 2
A plane-wave DFT calculation with PBEsol was carried out for K2RhPb after structural relaxation.

Output
For the energy relative to the elements, the calculation gives 0.46 eV/atom. The calculation puts the spin magnetization at 0.00 μB per formula unit. Its space-group type is Pmmm, No. 47. Its volume is 25.71 A^3/atom. As for the crystal system: orthorhombic. Its density of states at the Fermi level is 2.5 states/eV per cell.

a = 3.3691 Å, b = 5.4373 Å, c = 5.6138 Å
α = 90.00°, β = 90.00°, γ = 90.00°
Closest atoms and distances in Å follow each position.
Element x y z (fractional)
K  0.0000  0.0000  0.2407  2 K 2.70-2.91
K  0.0000  0.0000  0.7593  2 K 2.70-2.91
Rh  0.5000  0.5000  0.0000  2 Pb 2.81
Pb  0.5000  0.5000  0.5000  2 Rh 2.81

---

No. 3
A plane-wave DFT calculation with PBEsol was carried out for Ba2PrIrO6 after structural relaxation.

Output
The calculation puts the spin magnetization at 2.04 μB per formula unit. Its space-group type is P4/mnc, No. 128. Its volume is 15.45 A^3/atom. The uncorrected formation energy comes out at -2.2847 eV/atom. As for the crystal system: tetragonal. Its density of states at the Fermi level is 6.2 states/eV per cell.

a = 6.0223 Å, b = 6.0223 Å, c = 8.5200 Å
α = 90.00°, β = 90.00°, γ = 90.00°
Closest atoms and distances in Å follow each position.
Element x y z (fractional)
Ba  0.0000  0.5000  0.2500  12 O 2.97-3.06
Ba  0.0000  0.5000  0.7500  12 O 2.97-3.06
Ba  0.5000  0.0000  0.2500  12 O 2.97-3.06
Ba  0.5000  0.0000  0.7500  12 O 2.97-3.06
Pr  0.0000  0.0000  0.0000  6 O 2.30
Pr  0.5000  0.5000  0.5000  6 O 2.30
Ir  0.0000  0.0000  0.5000  6 O 1.96
Ir  0.5000  0.5000  0.0000  6 O 1.96
O  0.0000  0.0000  0.2700  1 Ir 1.96
O  0.0000  0.0000  0.7300  1 Ir 1.96
O  0.2224  0.2376  0.5000  1 Ir 1.96
O  0.2376  0.7776  0.5000  1 Ir 1.96
O  0.2624  0.2776  0.0000  1 Ir 1.96
O  0.2776  0.7376  0.0000  1 Ir 1.96
O  0.5000  0.5000  0.2300  1 Ir 1.96
O  0.5000  0.5000  0.7700  1 Ir 1.96
O  0.7224  0.2624  0.0000  1 Ir 1.96
O  0.7376  0.7224  0.0000  1 Ir 1.96
O  0.7624  0.2224  0.5000  1 Ir 1.96
O  0.7776  0.7624  0.5000  1 Ir 1.96

---

No. 4
A plane-wave DFT calculation with PBEsol was carried out for V4P7O24 after structural relaxation.

Output
The calculation puts the spin magnetization at 7.00 μB per formula unit. Its space-group type is P-1, No. 2. Its volume is 12.41 A^3/atom. The uncorrected formation energy comes out at -2.2160 eV/atom. As for the crystal system: triclinic. Its density of states at the Fermi level is 38.0 states/eV per cell.

a = 10.0686 Å, b = 10.1810 Å, c = 10.6288 Å
α = 108.71°, β = 111.63°, γ = 104.83°
Closest atoms and distances in Å follow each position.
Element x y z (fractional)
V  0.0015  0.1074  0.2582  6 O 1.89-2.06
V  0.0106  0.6640  0.8852  5 O 1.88-2.07
V  0.4863  0.8317  0.4118  5 O 1.87-2.06
V  0.4991  0.6112  0.9264  6 O 1.89-2.11
V  0.5009  0.3888  0.0736  6 O 1.89-2.11
V  0.5137  0.1683  0.5882  5 O 1.87-2.06
V  0.9894  0.3360  0.1148  5 O 1.88-2.07
V  0.9985  0.8926  0.7418  6 O 1.89-2.06
P  0.2324  0.1762  0.1133  4 O 1.50-1.60
P  0.2391  0.9668  0.2422  4 O 1.50-1.61
P  0.2500  0.5433  0.0530  4 O 1.53-1.58
P  0.2510  0.6083  0.4761  4 O 1.49-1.61
P  0.2728  0.7781  0.7722  4 O 1.48-1.60
P  0.3031  0.0595  0.7402  4 O 1.51-1.65
P  0.3108  0.3769  0.5659  4 O 1.51-1.64
P  0.6892  0.6231  0.4341  4 O 1.51-1.64
P  0.6969  0.9405  0.2598  4 O 1.51-1.65
P  0.7272  0.2219  0.2278  4 O 1.48-1.60
P  0.7490  0.3917  0.5239  4 O 1.49-1.61
P  0.7500  0.4567  0.9470  4 O 1.53-1.58
P  0.7609  0.0332  0.7578  4 O 1.50-1.61
P  0.7676  0.8238  0.8867  4 O 1.50-1.60
O  0.1074  0.4987  0.3253  1 P 1.49
O  0.1209  0.2173  0.1742  1 P 1.57
O  0.1251  0.9835  0.6683  1 P 1.52
O  0.1304  0.0036  0.3020  1 P 1.52
O  0.1342  0.2800  0.4564  1 P 1.53
O  0.1364  0.4147  0.0580  1 P 1.53
O  0.1357  0.7810  0.8031  1 P 1.54
O  0.1373  0.0555  0.9483  1 P 1.51
O  0.1509  0.5721  0.9248  1 P 1.53
O  0.1554  0.8242  0.0931  1 P 1.50
O  0.1890  0.6598  0.5952  2 P 1.60-1.61
O  0.3191  0.1057  0.2145  2 P 1.60-1.61
O  0.3469  0.4417  0.7312  1 P 1.52
O  0.3469  0.6846  0.2088  1 P 1.53
O  0.3529  0.7534  0.4885  1 P 1.50
O  0.3547  0.0707  0.6263  1 P 1.51
O  0.3559  0.5254  0.5347  2 P 1.59-1.64
O  0.3645  0.3172  0.1499  1 P 1.50
O  0.3663  0.9419  0.7945  2 P 1.58-1.65
O  0.3720  0.4985  0.0091  1 P 1.58
O  0.3811  0.2110  0.8818  1 P 1.51
O  0.3826  0.9745  0.3718  1 P 1.55
O  0.3849  0.7357  0.8684  1 P 1.48
O  0.4127  0.2986  0.5358  1 P 1.51
O  0.5873  0.7014  0.4642  1 P 1.51
O  0.6151  0.2643  0.1316  1 P 1.48
O  0.6174  0.0255  0.6282  1 P 1.55
O  0.6189  0.7890  0.1182  1 P 1.51
O  0.6280  0.5015  0.9909  1 P 1.58
O  0.6337  0.0581  0.2055  2 P 1.58-1.65
O  0.6355  0.6828  0.8501  1 P 1.50
O  0.6441  0.4746  0.4653  2 P 1.59-1.64
O  0.6453  0.9293  0.3737  1 P 1.51
O  0.6471  0.2466  0.5115  1 P 1.50
O  0.6531  0.3154  0.7912  1 P 1.53
O  0.6531  0.5583  0.2688  1 P 1.52
O  0.6809  0.8943  0.7855  2 P 1.60-1.61
O  0.8110  0.3402  0.4048  2 P 1.60-1.61
O  0.8446  0.1758  0.9069  1 P 1.50
O  0.8491  0.4279  0.0752  1 P 1.53
O  0.8627  0.9445  0.0517  1 P 1.51
O  0.8643  0.2190  0.1969  1 P 1.54
O  0.8636  0.5853  0.9420  1 P 1.53
O  0.8658  0.7200  0.5436  1 P 1.53
O  0.8696  0.9964  0.6980  1 P 1.52
O  0.8749  0.0165  0.3317  1 P 1.52
O  0.8791  0.7827  0.8258  1 P 1.57
O  0.8926  0.5013  0.6747  1 P 1.49

---

No. 5
A plane-wave DFT calculation with PBEsol was carried out for LiNbCd2B after structural relaxation.

Output
For the energy relative to the elements, the calculation gives 0.82 eV/atom. The calculation puts the spin magnetization at 0.71 μB per formula unit. Its space-group type is P4/mmm, No. 123. Its volume is 16.27 A^3/atom. As for the crystal system: tetragonal. Its density of states at the Fermi level is 3.2 states/eV per cell.

a = 4.4054 Å, b = 4.4054 Å, c = 4.1909 Å
α = 90.00°, β = 90.00°, γ = 90.00°
Closest atoms and distances in Å follow each position.
Element x y z (fractional)
Li  0.0000  0.0000  0.0000  2 B 2.10
Nb  0.5000  0.5000  0.0000  8 Cd 3.04, 4 Li 3.12
Cd  0.0000  0.5000  0.5000  2 B 2.20
Cd  0.5000  0.0000  0.5000  2 B 2.20
B  0.0000  0.0000  0.5000  2 Li 2.10, 4 Cd 2.20

---

No. 6
A plane-wave DFT calculation with PBEsol was carried out for LaMnRe after structural relaxation.

Output
For the energy relative to the elements, the calculation gives 0.46 eV/atom. The calculation puts the spin magnetization at 0.00 μB per formula unit. Its space-group type is Imm2, No. 44. Its volume is 19.33 A^3/atom. As for the crystal system: orthorhombic. Its density of states at the Fermi level is 3.3 states/eV per cell.

a = 5.8384 Å, b = 5.8384 Å, c = 5.8384 Å
α = 150.45°, β = 143.62°, γ = 47.54°
Closest atoms and distances in Å follow each position.
Element x y z (fractional)
La  0.0000  0.0000  0.0000  1 Mn 2.88, 1 Re 2.92, 2 La 2.98
Mn  0.7301  0.7301  0.0000  4 Re 2.40
Re  0.2729  0.2729  0.0000  4 Mn 2.40

---

No. 7
A plane-wave DFT calculation with PBEsol was carried out for La2TiCdBi after structural relaxation.

Output
For the energy relative to the elements, the calculation gives 0.44 eV/atom. The calculation puts the spin magnetization at 2.29 μB per formula unit. Its space-group type is P4/mmm, No. 123. Its volume is 37.71 A^3/atom. As for the crystal system: tetragonal. Its density of states at the Fermi level is 8.5 states/eV per cell.

a = 6.0717 Å, b = 6.0717 Å, c = 5.1145 Å
α = 90.00°, β = 90.00°, γ = 90.00°
Closest atoms and distances in Å follow each position.
Element x y z (fractional)
La  0.0000  0.5000  0.0000  2 Bi 3.04
La  0.5000  0.0000  0.0000  2 Bi 3.04
Ti  0.0000  0.0000  0.5000  2 Bi 2.56
Cd  0.5000  0.5000  0.5000  8 La 3.97, 4 Ti 4.29
Bi  0.0000  0.0000  0.0000  2 Ti 2.56

---

No. 8
A plane-wave DFT calculation with PBEsol was carried out for SrNi2P after structural relaxation.

Output
For the energy relative to the elements, the calculation gives -0.14 eV/atom. The calculation puts the spin magnetization at 0.00 μB per formula unit. Its space-group type is P4mm, No. 99. Its volume is 16.01 A^3/atom. As for the crystal system: tetragonal. Its density of states at the Fermi level is 2.9 states/eV per cell.

a = 3.1390 Å, b = 3.1390 Å, c = 6.4977 Å
α = 90.00°, β = 90.00°, γ = 90.00°
Closest atoms and distances in Å follow each position.
Element x y z (fractional)
Sr  0.0000  0.0000  0.0000  6 Ni 3.06-3.39, 4 Sr 3.14, 4 P 3.16
Ni  0.0000  0.0000  0.5225  4 P 2.38, 4 Ni 2.57
Ni  0.5000  0.5000  0.3236  1 P 2.14
P  0.5000  0.5000  0.6530  5 Ni 2.14-2.38

---

No. 9
A plane-wave DFT calculation with PBEsol was carried out for ZrPdWSe2 after structural relaxation.

Output
The calculation puts the spin magnetization at 0.00 μB per formula unit. Its space-group type is P4/mmm, No. 123. Its volume is 23.12 A^3/atom. The uncorrected formation energy comes out at 0.6812 eV/atom. As for the crystal system: tetragonal. Its density of states at the Fermi level is 3.9 states/eV per cell.

a = 4.7164 Å, b = 4.7164 Å, c = 5.1978 Å
α = 90.00°, β = 90.00°, γ = 90.00°
Closest atoms and distances in Å follow each position.
Element x y z (fractional)
Zr  0.0000  0.0000  0.0000  2 W 2.60
Pd  0.5000  0.5000  0.0000  4 Zr 3.34, 8 Se 3.51
W  0.0000  0.0000  0.5000  4 Se 2.36, 2 Zr 2.60
Se  0.0000  0.5000  0.5000  2 W 2.36
Se  0.5000  0.0000  0.5000  2 W 2.36

---

No. 10
A plane-wave DFT calculation with PBEsol was carried out for Gd2CuSe4O12 after structural relaxation.

Output
The calculation puts the spin magnetization at 13.00 μB per formula unit. Its space-group type is P2_1/c, No. 14. Its volume is 14.52 A^3/atom. The uncorrected formation energy comes out at -1.5624 eV/atom. As for the crystal system: monoclinic.

a = 10.5543 Å, b = 6.8782 Å, c = 8.1073 Å
α = 90.00°, β = 110.41°, γ = 90.00°
Closest atoms and distances in Å follow each position.
Element x y z (fractional)
Gd  0.0808  0.1631  0.2366  8 O 2.38-2.65
Gd  0.0808  0.3369  0.7366  8 O 2.38-2.65
Gd  0.9192  0.6631  0.2634  8 O 2.38-2.65
Gd  0.9192  0.8369  0.7634  8 O 2.38-2.65
Cu  0.5000  0.0000  0.5000  4 O 1.91-1.93
Cu  0.5000  0.5000  0.0000  4 O 1.91-1.93
Se  0.1886  0.6781  0.1371  3 O 1.70-1.74
Se  0.1886  0.8219  0.6371  3 O 1.70-1.74
Se  0.3640  0.1760  0.1239  3 O 1.71-1.75
Se  0.3640  0.3240  0.6239  3 O 1.71-1.75
Se  0.6360  0.6760  0.3761  3 O 1.71-1.75
Se  0.6360  0.8240  0.8761  3 O 1.71-1.75
Se  0.8114  0.1781  0.3629  3 O 1.70-1.74
Se  0.8114  0.3219  0.8629  3 O 1.70-1.74
O  0.0592  0.6499  0.5896  1 Se 1.74
O  0.0592  0.8501  0.0896  1 Se 1.74
O  0.1093  0.5062  0.2231  1 Se 1.73
O  0.1093  0.9938  0.7231  1 Se 1.73
O  0.1566  0.6154  0.9236  1 Se 1.70
O  0.1566  0.8846  0.4236  1 Se 1.70
O  0.1954  0.2254  0.0294  1 Se 1.71
O  0.1954  0.2746  0.5294  1 Se 1.71
O  0.3461  0.1211  0.3257  1 Se 1.75, 1 Cu 1.93
O  0.3461  0.3789  0.8257  1 Se 1.75, 1 Cu 1.93
O  0.4404  0.0992  0.6804  1 Se 1.73, 1 Cu 1.91
O  0.4404  0.4008  0.1804  1 Se 1.73, 1 Cu 1.91
O  0.5596  0.5992  0.8196  1 Se 1.73, 1 Cu 1.91
O  0.5596  0.9008  0.3196  1 Se 1.73, 1 Cu 1.91
O  0.6539  0.6211  0.1743  1 Se 1.75, 1 Cu 1.93
O  0.6539  0.8789  0.6743  1 Se 1.75, 1 Cu 1.93
O  0.8046  0.7254  0.4706  1 Se 1.71
O  0.8046  0.7746  0.9706  1 Se 1.71
O  0.8434  0.1154  0.5764  1 Se 1.70
O  0.8434  0.3846  0.0764  1 Se 1.70
O  0.8907  0.0062  0.2769  1 Se 1.73
O  0.8907  0.4938  0.7769  1 Se 1.73
O  0.9408  0.1499  0.9104  1 Se 1.74
O  0.9408  0.3501  0.4104  1 Se 1.74

---

- Among the records above, which one has the lowest volume?
  V4P7O24

---

- Which of these has the highest volume?
  La2TiCdBi